Entry 1:
## Ti7Ni5Pd (PBE)

Data for crystalline Ti7Ni5Pd at its relaxed geometry.

abc: 6.6427 6.6427 6.6427
angles: 136.33 99.34 96.57
Last column: nearest neighbours and their distance in Å.
Sites, in units of the cell vectors:
Ti (0.0000, 0.0000, 0.0000)  9 Ti 2.90-3.14, 4 Ni 3.13, 1 Pd 3.18
Ti (0.2267, 0.5406, 0.6861)  5 Ni 2.49-2.67
Ti (0.3442, 0.0066, 0.3375)  5 Ni 2.50-2.79, 1 Ti 2.79
Ti (0.3458, 0.3458, 0.0000)  6 Ni 2.58-2.59, 1 Pd 2.60
Ti (0.6691, 0.0066, 0.6625)  5 Ni 2.50-2.79, 1 Ti 2.79
Ti (0.7813, 0.2813, 0.5000)  4 Ni 2.44
Ti (0.8545, 0.5406, 0.3139)  5 Ni 2.49-2.67
Ni (0.0239, 0.0306, 0.4969)  5 Ti 2.44-2.67, 3 Ni 2.45-2.53
Ni (0.0239, 0.5270, 0.9933)  5 Ti 2.44-2.67, 3 Ni 2.45-2.53
Ni (0.2561, 0.7561, 0.5000)  6 Ti 2.49-2.62, 4 Ni 2.53
Ni (0.5337, 0.0306, 0.0067)  5 Ti 2.44-2.67, 3 Ni 2.45-2.53
Ni (0.5337, 0.5270, 0.5031)  5 Ti 2.44-2.67, 3 Ni 2.45-2.53
Pd (0.6402, 0.6402, 0.0000)  5 Ti 2.60-2.84, 4 Ni 2.74

Output
- formation enthalpy at 0 K (meV per atom) = -307
- calculated volume (Å³/f.u.) = 187.8

=====

Entry 2:
## Pm2Nd3Pb2 (PBE)

Data for crystalline Pm2Nd3Pb2 at its relaxed geometry.

abc: 8.8386 8.8386 8.2416
angles: 115.59 115.59 23.52
Last column: nearest neighbours and their distance in Å.
Sites, in units of the cell vectors:
Pm (0.1200, 0.1200, 0.4708)  4 Pb 3.34-3.58, 4 Nd 3.50-3.68, 2 Pm 3.60
Pm (0.8800, 0.8800, 0.5292)  4 Pb 3.34-3.58, 4 Nd 3.50-3.68, 2 Pm 3.60
Nd (0.0000, 0.0000, 0.0000)  4 Nd 3.32-3.60, 4 Pb 3.34, 2 Pm 3.50
Nd (0.2120, 0.2120, 0.1459)  5 Nd 3.32-3.68, 3 Pb 3.38-3.48, 3 Pm 3.67-3.68
Nd (0.7880, 0.7880, 0.8541)  5 Nd 3.32-3.68, 3 Pb 3.38-3.48, 3 Pm 3.67-3.68
Pb (0.4224, 0.4224, 0.2369)  4 Pm 3.34-3.58, 5 Nd 3.34-3.48, 2 Pb 3.60
Pb (0.5776, 0.5776, 0.7631)  4 Pm 3.34-3.58, 5 Nd 3.34-3.48, 2 Pb 3.60

Output
- formation enthalpy at 0 K (meV per atom) = -177
- calculated volume (Å³/f.u.) = 230.6

=====

Entry 3:
## Co3Re5 (PBE)

Data for crystalline Co3Re5 at its relaxed geometry.

abc: 7.1809 7.1809 4.7972
angles: 90.00 90.00 120.00
Last column: nearest neighbours and their distance in Å.
Sites, in units of the cell vectors:
Co (0.0000, 0.4138, 0.2500)  7 Re 2.47-2.63, 2 Co 2.70
Co (0.0000, 0.5862, 0.7500)  7 Re 2.47-2.63, 2 Co 2.70
Co (0.4138, 0.0000, 0.2500)  7 Re 2.47-2.63, 2 Co 2.70
Co (0.4138, 0.4138, 0.7500)  7 Re 2.47-2.63, 2 Co 2.70
Co (0.5862, 0.0000, 0.7500)  7 Re 2.47-2.63, 2 Co 2.70
Co (0.5862, 0.5862, 0.2500)  7 Re 2.47-2.63, 2 Co 2.70
Re (0.0000, 0.2205, 0.7500)  5 Co 2.58-2.77, 6 Re 2.74-2.87
Re (0.0000, 0.7795, 0.2500)  5 Co 2.58-2.77, 6 Re 2.74-2.87
Re (0.2205, 0.0000, 0.7500)  5 Co 2.58-2.77, 6 Re 2.74-2.87
Re (0.2205, 0.2205, 0.2500)  5 Co 2.58-2.77, 6 Re 2.74-2.87
Re (0.3333, 0.6667, 0.0000)  2 Re 2.40, 6 Co 2.47
Re (0.3333, 0.6667, 0.5000)  2 Re 2.40, 6 Co 2.47
Re (0.6667, 0.3333, 0.0000)  2 Re 2.40, 6 Co 2.47
Re (0.6667, 0.3333, 0.5000)  2 Re 2.40, 6 Co 2.47
Re (0.7795, 0.0000, 0.2500)  5 Co 2.58-2.77, 6 Re 2.74-2.87
Re (0.7795, 0.7795, 0.7500)  5 Co 2.58-2.77, 6 Re 2.74-2.87

Output
- relative energy among the computed polymorphs (meV/atom) = 89
- formation enthalpy at 0 K (meV per atom) = 132
- calculated volume (Å³/f.u.) = 107.1

=====

- What is the formula in the first record?
  Ti7Ni5Pd

=====

- What is the formula in the second record?
  Pm2Nd3Pb2